A plane-wave DFT calculation with GGA-PBE was carried out for a geometry-optimized SiAgRu4 structure.

The structure in POSCAR format:
```
SiAgRu4
1.0
0.000 3.611 3.611
3.611 0.000 3.611
3.611 3.611 0.000
Si Ag Ru
1 1 4
Direct
0.000 0.000 0.000
0.750 0.750 0.750
0.375 0.375 0.375
0.375 0.375 0.876
0.375 0.876 0.375
0.876 0.375 0.375
```

Computed properties:
D(E_F) (states/eV/cell): 7.6
E_form (uncorrected) (eV/atom): 0.714
Volume (A^3/atom): 15.70
Total magnetic moment (μB/atom): 0.427


A plane-wave DFT calculation with GGA-PBE was carried out for a geometry-optimized PmIn3Cu8 structure.

The structure in POSCAR format:
```
PmIn3Cu8
1.0
5.092 0.000 0.000
-2.546 4.410 0.000
0.000 0.000 8.554
Pm In Cu
1 3 8
Direct
0.000 0.000 0.000
0.000 0.000 0.375
0.667 0.333 0.492
0.667 0.333 0.855
0.166 0.331 0.676
0.166 0.834 0.676
0.333 0.667 0.432
0.333 0.667 0.923
0.501 0.001 0.189
0.501 0.499 0.189
0.669 0.834 0.676
0.999 0.499 0.189
```

Computed properties:
Energy relative to the elements (meV/atom): -103
D(E_F) (states/eV/cell): 2.7
Volume (A^3/atom): 16.01
Total magnetic moment (μB/atom): 0.000


A plane-wave DFT calculation with GGA-PBE was carried out for a geometry-optimized KLiCd2Pt structure.

The structure in POSCAR format:
```
KLiCd2Pt
1.0
5.329 0.000 0.000
0.000 5.329 0.000
0.000 0.000 4.927
K Li Cd Pt
1 1 2 1
Direct
0.000 0.000 0.000
0.500 0.500 0.000
0.000 0.500 0.500
0.500 0.000 0.500
0.500 0.500 0.500
```

Computed properties:
Energy relative to the elements (meV/atom): -256
D(E_F) (states/eV/cell): 1.6
Volume (A^3/atom): 27.99
Total magnetic moment (μB/atom): 0.000


A plane-wave DFT calculation with GGA-PBE was carried out for a geometry-optimized LiTcRh structure.

The structure in POSCAR format:
```
LiTcRh
1.0
4.177 0.000 0.000
-2.089 3.618 0.000
0.000 0.000 2.639
Li Tc Rh
1 1 1
Direct
0.000 0.000 0.000
0.333 0.667 0.636
0.667 0.333 0.250
```

Computed properties:
Energy relative to the elements (meV/atom): 43
D(E_F) (states/eV/cell): 1.2
Volume (A^3/atom): 13.29
Total magnetic moment (μB/atom): 0.000


A plane-wave DFT calculation with GGA-PBE was carried out for a geometry-optimized CsAc2Si2 structure.

The structure in POSCAR format:
```
CsAc2Si2
1.0
8.260 -2.922 0.000
8.260 2.922 0.000
-1.092 0.000 8.291
Cs Ac Si
2 4 4
Direct
0.103 0.897 0.750
0.897 0.103 0.250
0.190 0.461 0.336
0.461 0.190 0.836
0.539 0.810 0.164
0.810 0.539 0.664
0.074 0.318 0.022
0.318 0.074 0.522
0.682 0.926 0.478
0.926 0.682 0.978
```

Computed properties:
D(E_F) (states/eV/cell): 7.4
E_form (uncorrected) (eV/atom): -0.194
Volume (A^3/atom): 40.01
Total magnetic moment (μB/atom): 0.001


A plane-wave DFT calculation with GGA-PBE was carried out for a geometry-optimized Zr2TlCu structure.

The structure in POSCAR format:
```
Zr2TlCu
1.0
4.175 0.000 0.000
0.000 4.175 0.000
0.000 0.000 9.416
Zr Tl Cu
4 2 2
Direct
0.000 0.000 0.000
0.000 0.500 0.250
0.500 0.000 0.750
0.500 0.500 0.500
0.000 0.000 0.500
0.500 0.500 0.000
0.000 0.500 0.750
0.500 0.000 0.250
```

Computed properties:
Energy relative to the elements (meV/atom): 54
D(E_F) (states/eV/cell): 9.5
Volume (A^3/atom): 20.52
Total magnetic moment (μB/atom): 0.000


Number 1 is which compound?
SiAgRu4


Copy entry 1 word for word.
A plane-wave DFT calculation with GGA-PBE was carried out for a geometry-optimized SiAgRu4 structure.

The structure in POSCAR format:
```
SiAgRu4
1.0
0.000 3.611 3.611
3.611 0.000 3.611
3.611 3.611 0.000
Si Ag Ru
1 1 4
Direct
0.000 0.000 0.000
0.750 0.750 0.750
0.375 0.375 0.375
0.375 0.375 0.876
0.375 0.876 0.375
0.876 0.375 0.375
```

Computed properties:
D(E_F) (states/eV/cell): 7.6
E_form (uncorrected) (eV/atom): 0.714
Volume (A^3/atom): 15.70
Total magnetic moment (μB/atom): 0.427


What is the volume in the fourth record?
13.29 A^3/atom


The lowest D(E_F) belongs to which entry?
LiTcRh